A plane-wave DFT calculation with GGA-PBE was carried out for crystalline AcLuRh at its relaxed geometry.

POSCAR file:
```
AcLuRh
1.0
-1.790 1.790 6.445
1.790 -1.790 6.445
1.790 1.790 -6.445
Ac Lu Rh
1 1 1
Direct
0.000 0.000 0.000
0.262 0.262 0.000
0.657 0.657 0.000
```

Values from the calculation:
Space group: No. 107
Crystal system: tetragonal
Relative energy among the computed polymorphs (eV per atom): 0.0000

=====

A plane-wave DFT calculation with GGA-PBE was carried out for crystalline TbYEr at its relaxed geometry.

POSCAR file:
```
TbYEr
1.0
5.587 0.000 0.000
-2.794 4.839 0.000
0.000 0.000 3.502
Tb Y Er
1 1 1
Direct
0.000 0.000 0.000
0.667 0.333 0.500
0.333 0.667 0.000
```

Values from the calculation:
Space group: No. 187
Crystal system: hexagonal
Relative energy among the computed polymorphs (eV per atom): 0.0448

=====

A plane-wave DFT calculation with GGA-PBE was carried out for crystalline La2YBr2N2 at its relaxed geometry.

POSCAR file:
```
La2YBr2N2
1.0
-2.262 2.262 8.338
2.262 -2.262 8.338
2.262 2.262 -8.338
La Y Br N
2 1 2 2
Direct
0.091 0.091 0.000
0.909 0.909 0.000
0.500 0.500 0.000
0.322 0.322 0.000
0.678 0.678 0.000
0.000 0.500 0.500
0.500 0.000 0.500
```

Values from the calculation:
Space group: No. 139
Uncorrected formation energy (eV per atom): -1.482
Crystal system: tetragonal

=====

A plane-wave DFT calculation with GGA-PBE was carried out for crystalline TiTlAu at its relaxed geometry.

POSCAR file:
```
TiTlAu
1.0
7.055 0.000 0.000
0.000 4.476 0.000
0.000 0.000 7.939
Ti Tl Au
4 4 4
Direct
0.155 0.250 0.073
0.345 0.750 0.573
0.655 0.250 0.427
0.845 0.750 0.927
0.009 0.250 0.690
0.491 0.750 0.190
0.509 0.250 0.810
0.991 0.750 0.310
0.219 0.750 0.897
0.281 0.250 0.397
0.719 0.750 0.603
0.781 0.250 0.103
```

Values from the calculation:
Space group: No. 62
Crystal system: orthorhombic
Final energy (eV/atom): -4.55

=====

A plane-wave DFT calculation with GGA-PBE was carried out for crystalline Bi2Te4Pb at its relaxed geometry.

POSCAR file:
```
Bi2Te4Pb
1.0
2.247 1.297 14.392
-2.247 1.297 14.392
0.000 -2.595 14.392
Bi Te Pb
2 4 1
Direct
0.000 0.000 0.000
0.427 0.427 0.427
0.133 0.133 0.133
0.293 0.293 0.293
0.712 0.712 0.712
0.863 0.863 0.863
0.567 0.567 0.567
```

Values from the calculation:
Space group: No. 160
Uncorrected formation energy (eV per atom): -0.261
Crystal system: trigonal
Relative energy among the computed polymorphs (eV per atom): 0.0269

=====

A plane-wave DFT calculation with GGA-PBE was carried out for crystalline Ce8C3Cl4F at its relaxed geometry.

POSCAR file:
```
Ce8C3Cl4F
1.0
3.685 2.128 6.959
-3.685 2.128 6.959
0.000 -4.255 6.959
Ce C Cl F
8 3 4 1
Direct
0.224 0.739 0.739
0.233 0.233 0.233
0.261 0.261 0.776
0.261 0.776 0.261
0.739 0.224 0.739
0.739 0.739 0.224
0.767 0.767 0.767
0.776 0.261 0.261
0.000 0.000 0.500
0.000 0.500 0.000
0.500 0.000 0.000
0.000 0.000 0.000
0.000 0.500 0.500
0.500 0.000 0.500
0.500 0.500 0.000
0.500 0.500 0.500
```

Values from the calculation:
Space group: No. 166
Uncorrected formation energy (eV per atom): -1.211
Crystal system: trigonal

=====

A plane-wave DFT calculation with GGA-PBE was carried out for crystalline La2Tb4Sm5 at its relaxed geometry.

POSCAR file:
```
La2Tb4Sm5
1.0
-1.769 4.610 11.825
1.769 -4.610 11.825
1.769 4.610 -11.825
La Tb Sm
2 4 5
Direct
0.233 0.233 0.000
0.767 0.767 0.000
0.098 0.098 0.000
0.188 0.500 0.688
0.812 0.500 0.312
0.902 0.902 0.000
0.166 0.359 0.806
0.447 0.641 0.806
0.500 0.000 0.500
0.553 0.359 0.194
0.834 0.641 0.194
```

Values from the calculation:
Space group: No. 71
Crystal system: orthorhombic
Relative energy among the computed polymorphs (eV per atom): 0.1143

=====

A plane-wave DFT calculation with GGA-PBE was carried out for crystalline ErMgSiHg at its relaxed geometry.

POSCAR file:
```
ErMgSiHg
1.0
0.000 3.497 3.497
3.497 0.000 3.497
3.497 3.497 0.000
Er Mg Si Hg
1 1 1 1
Direct
0.000 0.000 0.000
0.500 0.500 0.500
0.250 0.250 0.250
0.750 0.750 0.750
```

Values from the calculation:
Space group: No. 216
Uncorrected formation energy (eV per atom): -0.266
Crystal system: cubic